Entry 1:
Computed, not measured: a relaxed structure of Tm4MgAl2Zn at the GGA-PBE level of DFT.

Geometry as POSCAR:
```
Tm4MgAl2Zn
1.0
5.0672 0.0000 0.0000
2.5336 4.3883 0.0000
2.5336 1.4628 8.2900
Al Tm Zn Mg
2 4 1 1
Direct
0.7457 0.7457 0.7630
0.2543 0.2543 0.2370
0.1290 0.1290 0.6131
0.6204 0.6204 0.1389
0.3796 0.3796 0.8611
0.8710 0.8710 0.3869
0.5000 0.5000 0.5000
0.0000 0.0000 0.0000
```

Properties
The value obtained for the calculated density is 7.381 g/cm3. The value obtained for the raw total energy is -3.856 eV per atom. The calculated formation energy is -0.326 eV per atom.

=====

Entry 2:
Computed, not measured: a relaxed structure of TmMgZrAl at the GGA-PBE level of DFT.

Geometry as POSCAR:
```
TmMgZrAl
1.0
4.9855 0.0000 0.0000
2.4928 4.3176 0.0000
2.4928 1.4392 4.0707
Al Tm Mg Zr
1 1 1 1
Direct
0.5000 0.5000 0.5000
0.2500 0.2500 0.2500
0.0000 0.0000 0.0000
0.7500 0.7500 0.7500
```

Properties
The value obtained for the calculated density is 5.902 g/cm3. The value obtained for the raw total energy is -4.772 eV per atom. The calculated formation energy is -0.183 eV per atom.

=====

Entry 3:
Computed, not measured: a relaxed structure of MgUAl at the GGA-PBE level of DFT.

Geometry as POSCAR:
```
MgUAl
1.0
2.9524 0.0000 0.0000
-1.4762 2.5569 0.0000
0.0000 0.0000 8.0567
Al U Mg
1 1 1
Direct
0.3333 0.6667 0.6615
0.0000 0.0000 0.9873
0.6667 0.3333 0.3511
```

Properties
The value obtained for the calculated density is 7.899 g/cm3. The value obtained for the raw total energy is -5.449 eV per atom. The calculated formation energy is 0.092 eV per atom.

=====

Entry 4:
Computed, not measured: a relaxed structure of MgAlV at the GGA-PBE level of DFT.

Geometry as POSCAR:
```
MgAlV
1.0
4.8027 0.0000 0.0000
0.0000 5.5097 0.0000
0.0000 0.0000 7.7503
Mg Al V
4 4 4
Direct
0.5000 0.2500 0.6230
0.5000 0.7500 0.3770
0.0000 0.2500 0.8770
0.0000 0.7500 0.1230
0.0000 0.5000 0.5000
0.5000 0.0000 0.0000
0.5000 0.5000 0.0000
0.0000 0.0000 0.5000
0.7500 0.2500 0.2500
0.7500 0.7500 0.7500
0.2500 0.7500 0.7500
0.2500 0.2500 0.2500
```

Properties
Its energy above the most stable polymorph in this dataset is 50 meV per atom. The value obtained for the calculated density is 3.311 g/cm3. The value obtained for the raw total energy is -4.773 eV per atom. The calculated formation energy is 0.046 eV per atom.

=====

Entry 5:
Computed, not measured: a relaxed structure of MgAlV at the GGA-PBE level of DFT.

Geometry as POSCAR:
```
MgAlV
1.0
-0.1917 -3.2719 -3.0543
-3.1666 -4.0272 1.2273
-3.9916 0.7295 -3.8167
V Al Mg
2 2 2
Direct
0.2500 0.5000 0.5000
0.7500 0.5000 0.5000
0.3258 0.0000 0.3484
0.6742 0.0000 0.6516
0.1549 0.6902 0.0000
0.8451 0.3098 0.0000
```

Properties
Its energy above the most stable polymorph in this dataset is 234 meV per atom. The value obtained for the calculated density is 3.116 g/cm3. The value obtained for the raw total energy is -4.588 eV per atom. The calculated formation energy is 0.230 eV per atom.

=====

Entry 6:
Computed, not measured: a relaxed structure of MgAlV at the GGA-PBE level of DFT.

Geometry as POSCAR:
```
MgAlV
1.0
-2.1098 2.8514 -0.3650
-8.6431 -7.2005 -6.2927
-1.9182 -0.9439 3.7147
Al V Mg
4 4 4
Direct
0.5000 0.1748 0.0000
0.5000 0.8252 0.0000
0.0000 0.6748 0.0000
0.0000 0.3252 0.0000
0.5000 0.3181 0.5000
0.0000 0.1819 0.5000
0.5000 0.6819 0.5000
0.0000 0.8181 0.5000
0.5000 0.0000 0.5000
0.5000 0.5000 0.0000
0.0000 0.0000 0.0000
0.0000 0.5000 0.5000
```

Properties
Its energy above the most stable polymorph in this dataset is 20 meV per atom. The value obtained for the calculated density is 3.447 g/cm3. The value obtained for the raw total energy is -4.802 eV per atom. The calculated formation energy is 0.016 eV per atom.

=====

Entry 7:
Computed, not measured: a relaxed structure of MgAlV at the GGA-PBE level of DFT.

Geometry as POSCAR:
```
MgAlV
1.0
4.3303 0.0000 0.0000
0.0000 13.5231 0.0000
0.0000 0.0000 3.3993
V Mg Al
4 4 4
Direct
0.5000 0.5641 0.2500
0.5000 0.4359 0.7500
0.0000 0.0641 0.2500
0.0000 0.9359 0.7500
0.5000 0.7409 0.7500
0.0000 0.7591 0.2500
0.5000 0.2591 0.2500
0.0000 0.2409 0.7500
0.0000 0.5765 0.7500
0.0000 0.4235 0.2500
0.5000 0.9235 0.2500
0.5000 0.0765 0.7500
```

Properties
Its energy above the most stable polymorph in this dataset is 12 meV per atom. The value obtained for the calculated density is 3.411 g/cm3. The value obtained for the raw total energy is -4.811 eV per atom. The calculated formation energy is 0.008 eV per atom.

=====

Entry 8:
Computed, not measured: a relaxed structure of MgAlV at the GGA-PBE level of DFT.

Geometry as POSCAR:
```
MgAlV
1.0
-2.7523 -0.1196 0.5364
0.1438 -4.4086 -0.2449
2.0984 -0.3640 7.7858
Al Mg V
2 2 2
Direct
0.4655 0.2500 0.7966
0.5345 0.7500 0.2034
0.7479 0.2500 0.4114
0.2521 0.7500 0.5886
0.1075 0.2500 0.0813
0.8925 0.7500 0.9187
```

Properties
Its energy above the most stable polymorph in this dataset is 0 meV per atom. The value obtained for the calculated density is 3.400 g/cm3. The value obtained for the raw total energy is -4.822 eV per atom. The calculated formation energy is -0.004 eV per atom.